VASP calculation (PBE-GGA) on crystalline TaMn2Tl at its relaxed geometry.

Structure (POSCAR):
```
TaMn2Tl
1.0
8.796 0.042 0.025
8.239 3.080 0.025
8.239 1.510 2.685
Mn Tl Ta
2 1 1
Direct
0.508 0.508 0.508
0.992 0.992 0.992
0.750 0.750 0.750
0.250 0.250 0.250
```

Output
* E_form: 456.1 meV/atom
* energy above the most stable polymorph in this dataset: 233 meV/atom
* SG: R-3m, No. 166
* M_tot: 5.0 Bohr magnetons per cell